1.
This record from the Alexandria database describes a geometry-optimized Li2Mg8Tl structure. The functional is PBE-GGA.

Cell lengths 4.6724, 6.4621, 8.4641 Å; angles 98.16, 106.02, 90.00 degrees
Fractional positions:
Mg 0.4068 0.5550 0.8136
Mg 0.9560 0.2713 0.9120
Li 0.1354 0.1777 0.2708
Tl 0.5000 0.0000 0.0000
Mg 0.5932 0.4450 0.1864
Mg 0.0440 0.7287 0.0880
Li 0.8646 0.8223 0.7292
Mg 0.6830 0.9166 0.3661
Mg 0.7770 0.3720 0.5541
Mg 0.2230 0.6280 0.4459
Mg 0.3170 0.0834 0.6339

Results
size of the total moment = 0.000 μB/f.u.
space-group type = C2/m
crystal system = monoclinic
offset from the most stable computed form = 0 meV per atom
calculated volume = 242.9 Å³ per cell


2.
This record from the Alexandria database describes a geometry-optimized Li2Mg6Tl structure. The functional is PBE-GGA.

Cell lengths 3.2021, 7.5708, 9.0023 Å; angles 78.32, 79.76, 77.79 degrees
Fractional positions:
Li 0.3429 0.0210 0.2932
Tl 0.0000 0.0000 0.0000
Mg 0.3786 0.6938 0.5489
Mg 0.9519 0.3471 0.7490
Li 0.6571 0.9790 0.7068
Mg 0.0481 0.6529 0.2510
Mg 0.2317 0.6445 0.8921
Mg 0.6214 0.3062 0.4511
Mg 0.7683 0.3555 0.1079

Results
size of the total moment = 0.000 μB/f.u.
space-group type = C2/m
crystal system = monoclinic
offset from the most stable computed form = 36 meV per atom
calculated volume = 206.8 Å³ per cell


3.
This record from the Alexandria database describes a geometry-optimized LiMg2Tl structure. The functional is PBE-GGA.

Cell lengths 5.3716, 5.3716, 4.5057 Å; angles 65.19, 65.19, 49.52 degrees
Fractional positions:
Li 0.7504 0.7504 0.7496
Mg 0.0001 0.0001 0.9999
Tl 0.4998 0.4998 0.5002
Mg 0.2498 0.2498 0.2502

Results
size of the total moment = 0.000 μB/f.u.
space-group type = I-4m2
crystal system = tetragonal
offset from the most stable computed form = 21 meV per atom
calculated volume = 87.7 Å³ per cell


4.
This record from the Alexandria database describes a geometry-optimized Li8Mg6Tl structure. The functional is PBE-GGA.

Cell lengths 6.0435, 7.9451, 7.9448 Å; angles 120.00, 90.00, 90.00 degrees
Fractional positions:
Li 0.6403 0.0424 0.3485
Tl 0.5000 0.0000 0.0000
Li 0.3597 0.3485 0.3061
Mg 0.8657 0.6904 0.0845
Li 0.6403 0.6515 0.6939
Mg 0.1343 0.6059 0.6904
Li 0.6403 0.3061 0.9576
Li 0.4979 0.3334 0.6667
Mg 0.8657 0.9154 0.6059
Li 0.5021 0.6666 0.3333
Mg 0.1343 0.3096 0.9155
Li 0.3597 0.6939 0.0424
Li 0.3597 0.9576 0.6515
Mg 0.1343 0.0846 0.3941
Mg 0.8657 0.3941 0.3096

Results
size of the total moment = 0.000 μB/f.u.
space-group type = P-3
crystal system = trigonal
offset from the most stable computed form = 73 meV per atom
calculated volume = 330.4 Å³ per cell


5.
This record from the Alexandria database describes a geometry-optimized Li2Mg3Tl3 structure. The functional is PBE-GGA.

Cell lengths 3.2592, 8.0412, 8.0412 Å; angles 120.00, 90.00, 90.00 degrees
Fractional positions:
Li 0.0000 0.3333 0.6667
Tl 0.5000 0.3800 0.3800
Mg 0.0000 0.7515 0.7515
Mg 0.0000 0.0000 0.2485
Tl 0.5000 0.6200 0.0000
Li 0.0000 0.6667 0.3333
Mg 0.0000 0.2485 0.0000
Tl 0.5000 0.0000 0.6200

Results
size of the total moment = 0.000 μB/f.u.
space-group type = P-62m
crystal system = hexagonal
calculated volume = 182.5 Å³ per cell


6.
This record from the Alexandria database describes a geometry-optimized LiMgTl2 structure. The functional is PBE-GGA.

Cell lengths 3.7496, 4.2092, 6.1222 Å; angles 90.00, 90.00, 90.00 degrees
Fractional positions:
Tl 0.0000 0.0000 0.9801
Tl 0.5000 0.5000 0.2736
Mg 0.5000 0.5000 0.7596
Li 0.0000 0.0000 0.4867

Results
size of the total moment = 0.000 μB/f.u.
space-group type = Pmm2
crystal system = orthorhombic
calculated volume = 96.6 Å³ per cell


| no. | formation energy from the elements (eV per formula unit) |
| --- | --- |
| 1 | -0.50 |
| 2 | -0.14 |
| 3 | -0.44 |
| 4 | 0.89 |
| 5 | -0.86 |
| 6 | -0.30 |